No. 1
Here is crystalline PmNd2Dy6Sc3 at its relaxed geometry from the Alexandria database. Energies are from GGA-PBE.

Geometry as POSCAR:
```
PmNd2Dy6Sc3
1.0
6.097 -0.001 0.024
-3.048 5.280 0.024
-1.061 -1.837 11.355
Pm Nd Dy Sc
1 2 6 3
direct
0.000 0.000 0.000
0.333 0.667 0.000
0.667 0.333 0.000
0.912 0.579 0.738
0.755 0.755 0.262
0.088 0.421 0.262
0.579 0.912 0.738
0.245 0.245 0.738
0.421 0.088 0.262
0.167 0.833 0.500
0.833 0.167 0.500
0.500 0.500 0.500
```

Output
Energy of formation, eV per atom: 0.048
Space group: C2/m (12)
Crystal system: monoclinic

No. 2
Here is crystalline Pm4Nd2DySc at its relaxed geometry from the Alexandria database. Energies are from GGA-PBE.

Geometry as POSCAR:
```
Pm4Nd2DySc
1.0
5.103 0.000 0.000
0.000 4.998 0.935
0.000 3.145 10.901
Pm Nd Dy Sc
4 2 1 1
direct
0.000 0.755 0.745
0.000 0.245 0.255
0.500 0.746 0.254
0.500 0.254 0.746
0.000 0.000 0.000
0.500 0.000 0.500
0.500 0.500 0.000
0.000 0.500 0.500
```

Output
Energy of formation, eV per atom: 0.030
Space group: P2/m (10)
Crystal system: monoclinic

No. 3
Here is crystalline PmNdDySc at its relaxed geometry from the Alexandria database. Energies are from GGA-PBE.

Geometry as POSCAR:
```
PmNdDySc
1.0
-3.646 0.835 4.201
-5.531 -0.319 -0.971
-2.970 -4.316 2.046
Sc Pm Nd Dy
1 1 1 1
direct
0.000 0.000 0.000
0.500 0.500 0.500
0.750 0.750 0.750
0.250 0.250 0.250
```

Output
Excess energy over the best structure of this formula in the dataset, meV per atom: 0
Energy of formation, eV per atom: 0.149
Space group: F-43m (216)
Crystal system: cubic

No. 4
Here is crystalline Pm3Nd2Dy6Sc at its relaxed geometry from the Alexandria database. Energies are from GGA-PBE.

Geometry as POSCAR:
```
Pm3Nd2Dy6Sc
1.0
6.182 0.000 0.004
-3.090 5.354 0.004
-1.036 -1.794 11.644
Pm Nd Dy Sc
3 2 6 1
direct
0.167 0.833 0.500
0.833 0.167 0.500
0.500 0.500 0.500
0.334 0.666 0.000
0.666 0.334 0.000
0.918 0.588 0.752
0.752 0.752 0.248
0.082 0.412 0.248
0.588 0.918 0.752
0.248 0.248 0.752
0.412 0.082 0.248
0.000 0.000 0.000
```

Output
Energy of formation, eV per atom: 0.024
Space group: C2/m (12)
Crystal system: monoclinic

No. 5
Here is crystalline Pm2NdDy3Se6 at its relaxed geometry from the Alexandria database. Energies are from GGA-PBE.

Geometry as POSCAR:
```
Pm2NdDy3Se6
1.0
-3.019 -6.468 -0.164
2.827 2.809 -5.925
6.097 -1.626 3.569
Pm Nd Dy Se
2 1 3 6
direct
0.334 0.666 0.000
0.666 0.334 0.000
0.000 0.000 0.000
0.166 0.834 0.500
0.834 0.166 0.500
0.500 0.500 0.500
0.912 0.577 0.737
0.752 0.752 0.262
0.088 0.423 0.263
0.577 0.912 0.737
0.248 0.248 0.738
0.423 0.088 0.263
```

Output
Uncorrected formation energy, eV per atom: -1.80
Space group: C2/m (12)
Crystal system: monoclinic

No. 6
Here is crystalline PmNdDy2Se6 at its relaxed geometry from the Alexandria database. Energies are from GGA-PBE.

Geometry as POSCAR:
```
PmNdDy2Se6
1.0
-0.584 4.839 5.484
-6.625 2.049 2.395
-2.354 -2.594 6.945
Pm Nd Dy Se
1 1 2 6
direct
0.814 0.814 0.557
0.313 0.313 0.061
0.513 0.513 0.460
0.014 0.014 0.958
0.627 0.227 0.247
0.227 0.899 0.247
0.899 0.627 0.247
0.402 0.728 0.746
0.728 0.123 0.746
0.123 0.403 0.746
```

Output
Uncorrected formation energy, eV per atom: -1.85
Space group: R3 (146)
Crystal system: trigonal

No. 7
Here is crystalline Pm3NdDy2Se6 at its relaxed geometry from the Alexandria database. Energies are from GGA-PBE.

Geometry as POSCAR:
```
Pm3NdDy2Se6
1.0
7.206 -0.016 -0.002
-3.615 6.234 -0.002
-1.199 -2.077 6.817
Pm Nd Dy Se
3 1 2 6
direct
0.161 0.839 0.500
0.839 0.161 0.500
0.500 0.500 0.500
0.000 0.000 0.000
0.334 0.666 0.000
0.666 0.334 0.000
0.919 0.576 0.755
0.737 0.737 0.240
0.081 0.424 0.245
0.576 0.919 0.755
0.263 0.263 0.760
0.424 0.081 0.245
```

Output
Uncorrected formation energy, eV per atom: -1.81
Space group: C2/m (12)
Crystal system: monoclinic

No. 8
Here is crystalline PmNd4DySe8 at its relaxed geometry from the Alexandria database. Energies are from GGA-PBE.

Geometry as POSCAR:
```
PmNd4DySe8
1.0
-7.119 -4.073 2.762
0.415 -8.314 2.368
-0.785 -2.170 8.334
Pm Nd Dy Se
1 4 1 8
direct
0.001 0.001 0.996
0.625 0.625 0.126
0.001 0.496 0.501
0.496 0.001 0.501
0.001 0.001 0.501
0.375 0.375 0.874
0.245 0.763 0.748
0.763 0.245 0.748
0.245 0.245 0.748
0.246 0.246 0.261
0.760 0.225 0.256
0.225 0.760 0.256
0.760 0.760 0.256
0.758 0.758 0.726
```

Output
Uncorrected formation energy, eV per atom: -1.73
Space group: R3m (160)
Crystal system: trigonal

No. 9
Here is crystalline PmNd2DySe4 at its relaxed geometry from the Alexandria database. Energies are from GGA-PBE.

Geometry as POSCAR:
```
PmNd2DySe4
1.0
-3.945 0.985 -0.695
0.143 -3.817 -6.226
-1.960 -6.850 1.414
Pm Nd Dy Se
1 2 1 4
direct
0.500 0.500 0.000
0.000 0.000 0.000
0.500 0.000 0.500
0.000 0.500 0.500
0.000 0.743 0.747
0.000 0.257 0.253
0.500 0.739 0.259
0.500 0.261 0.741
```

Output
Uncorrected formation energy, eV per atom: -1.81
Space group: P2/m (10)
Crystal system: monoclinic

No. 10
Here is crystalline Pm2NdDySe4 at its relaxed geometry from the Alexandria database. Energies are from GGA-PBE.

Geometry as POSCAR:
```
Pm2NdDySe4
1.0
4.122 0.000 0.000
0.000 7.235 -0.174
0.000 2.519 6.848
Pm Nd Dy Se
2 1 1 4
direct
0.000 0.000 0.000
0.500 0.000 0.500
0.500 0.500 0.000
0.000 0.500 0.500
0.000 0.748 0.744
0.000 0.252 0.256
0.500 0.743 0.259
0.500 0.257 0.741
```

Output
Uncorrected formation energy, eV per atom: -1.81
Space group: P2/m (10)
Crystal system: monoclinic

No. 11
Here is crystalline Pm4Nd3DySe8 at its relaxed geometry from the Alexandria database. Energies are from GGA-PBE.

Geometry as POSCAR:
```
Pm4Nd3DySe8
1.0
-0.292 -6.724 -5.023
8.356 -0.626 0.352
-4.504 0.148 7.084
Pm Nd Dy Se
4 3 1 8
direct
0.500 0.000 0.000
0.500 0.000 0.500
0.000 0.000 0.000
0.000 0.000 0.500
0.500 0.500 0.000
0.500 0.500 0.500
0.000 0.500 0.500
0.000 0.500 0.000
0.246 0.748 0.002
0.246 0.748 0.491
0.249 0.247 0.498
0.756 0.748 0.002
0.244 0.252 0.998
0.751 0.753 0.502
0.754 0.252 0.509
0.754 0.252 0.998
```

Output
Uncorrected formation energy, eV per atom: -1.82
Space group: R-3m (166)
Crystal system: trigonal

No. 12
Here is crystalline Pm3Nd4DySe8 at its relaxed geometry from the Alexandria database. Energies are from GGA-PBE.

Geometry as POSCAR:
```
Pm3Nd4DySe8
1.0
-6.625 1.428 4.946
-2.507 -7.962 -1.058
7.745 1.609 2.793
Pm Nd Dy Se
3 4 1 8
direct
0.500 0.500 0.000
0.500 0.500 0.500
0.000 0.500 0.500
0.500 0.000 0.000
0.500 0.000 0.500
0.000 0.000 0.000
0.000 0.000 0.500
0.000 0.500 0.000
0.245 0.743 0.998
0.245 0.743 0.490
0.251 0.253 0.502
0.753 0.743 0.998
0.247 0.257 0.002
0.749 0.747 0.498
0.755 0.257 0.510
0.755 0.257 0.002
```

Output
Uncorrected formation energy, eV per atom: -1.82
Space group: R-3m (166)
Crystal system: trigonal

Across the entries above, magnetization takes the values 0.000 0.000 0.013 0.000 0.000 0.000 0.000 0.003 0.000 0.000 0.000 0.000 μB/cell, respectively.